{
  "formula": "TiVO4",
  "functional": "PBE with a Hubbard U",
  "state": "optimized geometry",
  "lattice_angstrom": [[-2.225, -3.006, -4.007], [-1.492, -1.576, 5.033], [-1.723, 5.159, -0.676]],
  "species": ["Ti", "Ti", "O", "O", "O", "O", "O", "O", "O", "O", "V", "V"],
  "fractional_positions": [[0.746, 0.246, 0.500], [0.496, 0.496, 0.000], [0.503, 0.199, 0.695], [0.546, 0.749, 0.797], [0.449, 0.253, 0.195], [0.999, 0.702, 0.703], [0.952, 0.749, 0.203], [0.058, 0.253, 0.805], [0.999, 0.296, 0.297], [0.503, 0.808, 0.305], [0.001, 0.001, 0.000], [0.251, 0.751, 0.500]],
  "e_tot_ev_per_atom": -8.350
}